LiMgCl3 | the Alexandria database | PBE | relaxed; energy above the most stable polymorph in this dataset = 0.0 meV per atom; DFT total energy = -3.626 eV/atom; formation energy from raw total energies = -876 kJ/mol of formula units
1.0
3.159 -5.637 0.000
3.159 5.637 0.000
-2.094 0.000 5.977
Li Mg Cl
2 2 6
direct
0.161 0.839 0.000
0.839 0.161 0.000
0.338 0.662 0.500
0.662 0.338 0.500
0.068 0.440 0.745
0.265 0.265 0.261
0.440 0.068 0.745
0.560 0.932 0.255
0.735 0.735 0.739
0.932 0.560 0.255

Ba2TaBeSn | the Alexandria database | PBE | relaxed; DFT total energy = -3.954 eV/atom; ΔE_f = 0.731 eV/atom
1.0
6.062 0.000 0.000
0.000 6.062 0.000
0.000 0.000 4.674
Ba Ta Be Sn
2 1 1 1
direct
0.000 0.500 0.000
0.500 0.000 0.000
0.000 0.000 0.500
0.000 0.000 0.000
0.500 0.500 0.500

LaPm5Y2Th | the Alexandria database | PBE | relaxed; DFT total energy = -5.291 eV/atom; ΔE_f = 0.156 eV/atom
1.0
2.871 -10.128 0.000
2.871 10.128 0.000
0.000 0.000 10.646
La Pm Y Th
2 10 4 2
direct
0.085 0.915 0.500
0.915 0.085 0.000
0.022 0.978 0.792
0.112 0.888 0.079
0.208 0.792 0.755
0.221 0.779 0.367
0.483 0.517 0.078
0.517 0.483 0.578
0.779 0.221 0.867
0.792 0.208 0.255
0.888 0.112 0.579
0.978 0.022 0.292
0.384 0.616 0.373
0.388 0.612 0.787
0.612 0.388 0.287
0.616 0.384 0.873
0.299 0.701 0.065
0.701 0.299 0.565

Sr2AcPmS4 | the Alexandria database | PBE | relaxed; DFT total energy = -5.631 eV/atom; formation energy from raw total energies = -1574 kJ/mol of formula units
1.0
7.268 0.000 0.000
0.000 4.197 0.000
-2.419 0.000 6.974
Sr Ac Pm S
2 1 1 4
direct
0.000 0.000 0.000
0.500 0.500 0.000
0.000 0.500 0.500
0.500 0.000 0.500
0.258 0.000 0.749
0.261 0.500 0.258
0.739 0.500 0.742
0.742 0.000 0.251

Pm3CSe | the Alexandria database | PBE | relaxed; DFT total energy = -6.187 eV/atom; formation energy from raw total energies = -383 kJ/mol of formula units
1.0
6.750 -5.890 0.000
6.750 5.890 0.000
-0.983 0.000 6.629
Pm C Se
12 4 4
direct
0.025 0.186 0.613
0.132 0.659 0.891
0.186 0.025 0.113
0.286 0.492 0.370
0.341 0.868 0.609
0.492 0.286 0.870
0.508 0.714 0.130
0.659 0.132 0.391
0.714 0.508 0.630
0.814 0.975 0.887
0.868 0.341 0.109
0.975 0.814 0.387
0.078 0.922 0.750
0.252 0.748 0.250
0.748 0.252 0.750
0.922 0.078 0.250
0.173 0.338 0.989
0.338 0.173 0.489
0.662 0.827 0.511
0.827 0.662 0.011

Cr4ReMo3 | the Alexandria database | PBE | relaxed; DFT total energy = -10.386 eV/atom; ΔE_f = 0.043 eV/atom
1.0
3.011 0.000 0.000
0.000 3.011 0.000
0.000 0.000 12.066
Cr Re Mo
4 1 3
direct
0.000 0.000 0.124
0.000 0.000 0.374
0.000 0.000 0.626
0.000 0.000 0.876
0.500 0.500 0.000
0.500 0.500 0.250
0.500 0.500 0.500
0.500 0.500 0.750

TbNd3 | the Alexandria database | PBE | relaxed; energy above the most stable polymorph in this dataset = 119.9 meV per atom; DFT total energy = -4.598 eV/atom; ΔE_f = 0.135 eV/atom
1.0
0.000 4.103 4.103
4.103 0.000 4.103
4.103 4.103 0.000
Tb Nd
1 3
direct
0.000 0.000 0.000
0.250 0.250 0.250
0.500 0.500 0.500
0.750 0.750 0.750

CoNiRuSe2 | the Alexandria database | PBE | relaxed; DFT total energy = -4.891 eV/atom; formation energy from raw total energies = 451 kJ/mol of formula units
1.0
4.510 0.000 0.000
0.000 4.510 0.000
0.000 0.000 4.273
Co Ni Ru Se
1 1 1 2
direct
0.000 0.000 0.000
0.000 0.000 0.500
0.500 0.500 0.500
0.000 0.500 0.000
0.500 0.000 0.000

TcBiRh | the Alexandria database | PBE | relaxed; energy above the most stable polymorph in this dataset = 128.7 meV per atom; DFT total energy = -6.696 eV/atom; ΔE_f = 0.504 eV/atom
1.0
3.022 0.000 0.000
-1.499 3.790 0.000
-0.017 -2.043 5.159
Tc Bi Rh
1 1 1
direct
0.000 0.000 0.000
0.602 0.209 0.620
0.787 0.578 0.232

Tb2Mn16Tc | the Alexandria database | PBE | relaxed; DFT total energy = -8.749 eV/atom; ΔE_f = 0.006 eV/atom
1.0
4.346 2.509 3.906
-4.346 2.509 3.906
0.000 -5.018 3.906
Tb Mn Tc
2 16 1
direct
0.000 0.000 0.000
0.289 0.289 0.289
0.000 0.000 0.522
0.000 0.522 0.000
0.145 0.645 0.645
0.286 0.286 0.771
0.286 0.771 0.286
0.369 0.647 0.924
0.369 0.924 0.647
0.522 0.000 0.000
0.645 0.145 0.645
0.645 0.645 0.145
0.647 0.369 0.924
0.647 0.924 0.369
0.748 0.748 0.748
0.771 0.286 0.286
0.924 0.369 0.647
0.924 0.647 0.369
0.545 0.545 0.545

CsHg4Rh | the Alexandria database | PBE | relaxed; DFT total energy = -1.667 eV/atom; ΔE_f = -0.099 eV/atom
1.0
5.322 0.000 0.000
0.000 5.322 0.000
-0.009 0.000 8.105
Cs Hg Rh
1 4 1
direct
0.000 0.000 0.000
0.000 0.500 0.500
0.500 0.000 0.500
0.500 0.500 0.179
0.500 0.500 0.821
0.500 0.500 0.500

Y5Mo | the Alexandria database | PBE | relaxed; energy above the most stable polymorph in this dataset = 77.4 meV per atom; DFT total energy = -6.929 eV/atom; ΔE_f = 0.263 eV/atom
1.0
5.440 0.000 0.000
0.000 1.801 8.753
0.000 -1.801 8.753
Y Mo
5 1
direct
0.000 0.000 0.000
0.000 0.293 0.293
0.500 0.186 0.186
0.500 0.534 0.534
0.500 0.865 0.865
0.000 0.644 0.644

KLa2Ce3Se6 | the Alexandria database | PBE | relaxed; DFT total energy = -5.945 eV/atom; formation energy from raw total energies = -2092 kJ/mol of formula units
1.0
9.420 -2.130 0.000
9.420 2.130 0.000
-2.098 0.000 8.445
K La Ce Se
1 2 3 6
direct
0.000 0.000 0.000
0.331 0.331 0.662
0.669 0.669 0.338
0.000 0.000 0.500
0.335 0.335 0.171
0.665 0.665 0.829
0.164 0.164 0.586
0.171 0.171 0.081
0.500 0.500 0.265
0.500 0.500 0.735
0.829 0.829 0.919
0.836 0.836 0.414

Na3InTc | the Alexandria database | PBE | relaxed; energy above the most stable polymorph in this dataset = 0.0 meV per atom; DFT total energy = -2.255 eV/atom; ΔE_f = 1.158 eV/atom
1.0
5.717 0.000 0.000
0.000 5.717 0.000
0.000 0.000 5.717
Na In Tc
3 1 1
direct
0.000 0.000 0.500
0.000 0.500 0.000
0.500 0.000 0.000
0.500 0.500 0.500
0.000 0.000 0.000

CrIr2Pt | the Alexandria database | PBE | relaxed; DFT total energy = -8.483 eV/atom; ΔE_f = -0.136 eV/atom
1.0
-1.919 1.919 3.873
1.919 -1.919 3.873
1.919 1.919 -3.873
Cr Ir Pt
1 2 1
direct
0.000 0.000 0.000
0.500 0.500 0.000
0.750 0.250 0.500
0.250 0.750 0.500

K2NaI | the Alexandria database | PBE | relaxed; energy above the most stable polymorph in this dataset = 64.9 meV per atom; DFT total energy = -1.860 eV/atom; formation energy from raw total energies = -229 kJ/mol of formula units
1.0
2.297 1.326 12.308
-2.297 1.326 12.308
0.000 -2.653 12.308
K Na I
2 1 1
direct
0.104 0.104 0.104
0.896 0.896 0.896
0.000 0.000 0.000
0.500 0.500 0.500

LaNd4Ho2Er | the Alexandria database | PBE | relaxed; DFT total energy = -4.696 eV/atom; ΔE_f = 0.018 eV/atom
1.0
6.267 0.000 0.000
0.000 3.647 0.000
-2.116 0.000 11.809
La Nd Ho Er
1 4 2 1
direct
0.000 0.000 0.000
0.250 0.000 0.748
0.252 0.500 0.255
0.748 0.500 0.745
0.750 0.000 0.252
0.000 0.500 0.500
0.500 0.000 0.500
0.500 0.500 0.000

Sr3AlSn2 | the Alexandria database | PBE | relaxed; DFT total energy = -3.327 eV/atom; ΔE_f = -0.528 eV/atom
1.0
13.182 0.000 0.000
0.000 4.654 0.000
0.000 0.000 13.551
Sr Al Sn
12 4 8
direct
0.065 0.250 0.118
0.122 0.750 0.554
0.201 0.250 0.795
0.299 0.750 0.295
0.378 0.250 0.054
0.435 0.750 0.618
0.565 0.250 0.382
0.622 0.750 0.946
0.701 0.250 0.705
0.799 0.750 0.205
0.878 0.250 0.446
0.935 0.750 0.882
0.140 0.250 0.356
0.360 0.750 0.856
0.640 0.250 0.144
0.860 0.750 0.644
0.029 0.750 0.317
0.196 0.750 0.986
0.304 0.250 0.486
0.471 0.250 0.817
0.529 0.750 0.183
0.696 0.750 0.514
0.804 0.250 0.014
0.971 0.250 0.683

Sr2CrW | the Alexandria database | PBE | relaxed; energy above the most stable polymorph in this dataset = 0.0 meV per atom; DFT total energy = -5.798 eV/atom; ΔE_f = 0.687 eV/atom
1.0
3.411 0.000 0.000
0.000 3.411 0.000
0.000 0.000 9.547
Sr Cr W
2 1 1
direct
0.000 0.000 0.000
0.500 0.500 0.400
0.500 0.500 0.744
0.000 0.000 0.660

MnTl2I2 | the Alexandria database | PBE | relaxed; energy above the most stable polymorph in this dataset = 176.3 meV per atom; DFT total energy = -3.140 eV/atom; formation energy from raw total energies = 126 kJ/mol of formula units
1.0
-2.978 2.978 6.607
2.978 -2.978 6.607
2.978 2.978 -6.607
Mn Tl I
1 2 2
direct
0.000 0.000 0.000
0.368 0.368 0.000
0.632 0.632 0.000
0.250 0.750 0.500
0.750 0.250 0.500

Fe2WSe | the Alexandria database | PBE | relaxed; DFT total energy = -8.069 eV/atom; formation energy from raw total energies = 105 kJ/mol of formula units
1.0
3.014 0.000 0.000
0.000 3.014 0.000
0.000 0.000 6.004
Fe W Se
2 1 1
direct
0.000 0.000 0.249
0.000 0.000 0.751
0.500 0.500 0.000
0.500 0.500 0.500

CaPuTlO6 | the Alexandria database | PBE | relaxed; DFT total energy = -7.348 eV/atom; formation energy from raw total energies = -1706 kJ/mol of formula units
1.0
5.619 0.000 0.000
-2.809 4.866 0.000
0.000 0.000 10.084
Ca Pu Tl O
2 2 2 12
direct
0.000 0.000 0.000
0.000 0.000 0.500
0.333 0.667 0.250
0.667 0.333 0.750
0.333 0.667 0.750
0.667 0.333 0.250
0.037 0.369 0.135
0.037 0.667 0.365
0.333 0.369 0.365
0.333 0.963 0.135
0.369 0.037 0.635
0.369 0.333 0.865
0.631 0.667 0.135
0.631 0.963 0.365
0.667 0.037 0.865
0.667 0.631 0.635
0.963 0.333 0.635
0.963 0.631 0.865

Zr2MnSbH | the Alexandria database | PBE | relaxed; DFT total energy = -7.092 eV/atom
1.0
4.411 0.000 0.000
0.000 4.411 0.000
0.000 0.000 4.174
Zr Mn Sb H
2 1 1 1
direct
0.000 0.500 0.000
0.500 0.000 0.000
0.000 0.000 0.500
0.500 0.500 0.500
0.000 0.000 0.000

Total moment (μB per cell)
0.0 2.2 0.0 0.0 0.0 0.0 0.0 3.3 0.0 5.1 0.0 1.1 3.4 3.4 1.7 0.0 0.0 0.0 0.9 5.0 2.7 2.0 3.0